No. 1
# MnTcCl2

An optimized crystal structure of MnTcCl2 (PBE-GGA, Alexandria).

The space group is Pmm2 (No. 25) and the conventional cell measures 3.0122, 3.1215 and 8.5304 Å, with angles of 90.00, 90.00 and 90.00 degrees. The inequivalent atoms are Mn at (0.0000, 0.0000, 0.0000), Tc at (0.5000, 0.5000, 0.1731), Cl at (0.0000, 0.5000, 0.3876) and Cl at (0.5000, 0.0000, 0.7941).

The value obtained for the formation energy from raw total energies is -0.198 eV/atom. For the offset from the most stable computed form, the calculation gives 0.0000 eV per atom. Its density is 4.6 g/cm3.

No. 2
# EuPuAlGe

An optimized crystal structure of EuPuAlGe (PBE-GGA, Alexandria).

The space group is F-43m (No. 216) and the conventional cell measures 7.2975, 7.2975 and 7.2975 Å, with angles of 90.00, 90.00 and 90.00 degrees. The inequivalent atoms are Eu at (0.0000, 0.0000, 0.0000), Pu at (0.0000, 0.0000, 0.5000), Al at (0.2500, 0.2500, 0.2500) and Ge at (0.2500, 0.2500, 0.7500).

The calculation puts the formation energy at -0.243 eV/atom. Its density is 8.5 g/cm3.